Entry 1:
! CoNi8Rh4, relaxed, DFT GGA-PBE; values from VASP
! - Calculated total energy: -82.438 eV per formula unit
&SYSTEM
  ibrav = 0, nat = 13, ntyp = 3
/
ATOMIC_SPECIES
Co 58.93 Co.upf
Ni 58.69 Ni.upf
Rh 102.91 Rh.upf
CELL_PARAMETERS angstrom
4.1104 -1.8116 0.0000
4.1104 1.8116 0.0000
-0.9174 0.0000 10.5784
ATOMIC_POSITIONS angstrom
Co 0.0000 0.0000 0.0000
Ni -0.0509 0.0000 8.1719
Ni 1.6164 0.0000 3.2313
Ni 2.4466 0.0000 0.7934
Ni 3.2410 0.0000 6.5599
Ni 4.0624 0.0000 4.0184
Ni 4.8568 0.0000 9.7849
Ni 5.6870 0.0000 7.3471
Ni 7.3542 0.0000 2.4065
Rh 0.7606 0.0000 5.7164
Rh 2.4118 0.0000 8.9705
Rh 4.8915 0.0000 1.6079
Rh 6.5427 0.0000 4.8619

***

Entry 2:
! TaGaCo, relaxed, DFT GGA-PBE; values from VASP
! - Calculated total energy: -22.755 eV per formula unit
&SYSTEM
  ibrav = 0, nat = 12, ntyp = 3
/
ATOMIC_SPECIES
Ta 180.95 Ta.upf
Ga 69.72 Ga.upf
Co 58.93 Co.upf
CELL_PARAMETERS angstrom
6.2342 0.0000 0.0000
0.0000 3.9003 0.0000
0.0000 0.0000 7.1236
ATOMIC_POSITIONS angstrom
Ta 0.0626 0.9751 1.5383
Ta 3.0545 2.9252 5.1001
Ta 3.1797 0.9751 2.0234
Ta 6.1716 2.9252 5.5852
Ga 1.5162 2.9252 2.8579
Ga 1.6009 0.9751 6.4196
Ga 4.6333 2.9252 0.7039
Ga 4.7180 0.9751 4.2657
Co 0.8708 0.9751 4.0850
Co 2.2463 2.9252 0.5232
Co 3.9879 0.9751 6.6004
Co 5.3634 2.9252 3.0386

***

Entry 3:
! PrAg9Hg2, relaxed, DFT GGA-PBE; values from VASP
! - Calculated total energy: -31.343 eV per formula unit
&SYSTEM
  ibrav = 0, nat = 12, ntyp = 3
/
ATOMIC_SPECIES
Pr 140.91 Pr.upf
Ag 107.87 Ag.upf
Hg 200.59 Hg.upf
CELL_PARAMETERS angstrom
2.8543 1.6479 8.9351
-2.8543 1.6479 8.9351
0.0000 -3.2959 8.9351
ATOMIC_POSITIONS angstrom
Pr 0.0000 0.0000 0.0000
Ag -1.4494 -0.8368 11.2239
Ag 0.0000 0.0000 8.9472
Ag 0.0000 -1.6737 15.5813
Ag -1.4494 0.8368 15.5813
Ag 0.0000 0.0000 13.4026
Ag 1.4494 -0.8368 11.2239
Ag 0.0000 1.6737 11.2239
Ag 0.0000 0.0000 17.8581
Ag 1.4494 0.8368 15.5814
Hg 0.0000 0.0000 3.7148
Hg 0.0000 0.0000 23.0904

***

Entry 4:
! ZrAlPt2, relaxed, DFT GGA-PBE; values from VASP
! - Calculated total energy: -28.601 eV per formula unit
&SYSTEM
  ibrav = 0, nat = 16, ntyp = 3
/
ATOMIC_SPECIES
Zr 91.22 Zr.upf
Al 26.98 Al.upf
Pt 195.08 Pt.upf
CELL_PARAMETERS angstrom
7.1137 0.0000 0.0000
0.0000 7.0547 0.0000
0.0000 0.0000 5.4468
ATOMIC_POSITIONS angstrom
Zr 0.2737 1.7637 0.8024
Zr 3.2832 5.2910 3.5259
Zr 3.8305 1.7637 1.9210
Zr 6.8400 5.2910 4.6444
Al 0.7389 5.2910 1.9319
Al 2.8180 1.7637 4.6553
Al 4.2957 5.2910 0.7915
Al 6.3748 1.7637 3.5149
Pt 1.3825 0.3464 3.1631
Pt 1.3825 3.1810 3.1631
Pt 2.1744 3.8737 0.4397
Pt 2.1744 6.7083 0.4397
Pt 4.9393 0.3464 5.0072
Pt 4.9393 3.1810 5.0072
Pt 5.7312 3.8737 2.2838
Pt 5.7312 6.7083 2.2838

***

Entry 5:
! Ce3Ge3Ir2, relaxed, DFT GGA-PBE; values from VASP
! - Energy above the lowest structure with this stoichiometry: 27.6 meV/atom
&SYSTEM
  ibrav = 0, nat = 32, ntyp = 3
/
ATOMIC_SPECIES
Ce 140.12 Ce.upf
Ge 72.64 Ge.upf
Ir 192.22 Ir.upf
CELL_PARAMETERS angstrom
7.9909 0.0000 0.0000
0.0000 14.7849 0.0000
0.0000 0.0000 5.7619
ATOMIC_POSITIONS angstrom
Ce 0.3038 1.5892 0.6866
Ce 0.3038 5.8033 0.6866
Ce 1.4112 3.6962 3.6514
Ce 2.5843 11.0887 0.7704
Ce 3.6916 8.9816 3.5676
Ce 3.6916 13.1957 3.5676
Ce 4.2993 1.5892 2.1944
Ce 4.2993 5.8033 2.1944
Ce 5.4066 3.6962 4.9915
Ce 6.5797 11.0887 2.1105
Ce 7.6871 8.9816 5.0753
Ce 7.6871 13.1957 5.0753
Ge 1.3991 11.0887 3.5979
Ge 1.4786 0.5619 3.5172
Ge 1.4786 6.8305 3.5172
Ge 2.5168 7.9543 0.6362
Ge 2.5168 14.2230 0.6362
Ge 2.5963 3.6962 0.7169
Ge 5.3946 11.0887 5.0450
Ge 5.4741 0.5619 5.1257
Ge 5.4741 6.8305 5.1257
Ge 6.5123 7.9543 2.2448
Ge 6.5123 14.2230 2.2448
Ge 6.5917 3.6962 2.1641
Ir 0.8040 9.0123 2.1657
Ir 0.8040 13.1650 2.1657
Ir 3.1914 1.6198 5.0466
Ir 3.1914 5.7726 5.0466
Ir 4.7995 9.0123 0.7153
Ir 4.7995 13.1650 0.7153
Ir 7.1869 1.6198 3.5963
Ir 7.1869 5.7726 3.5963

***

Entry 6:
! NaV, relaxed, DFT GGA-PBE; values from VASP
! - Energy above the lowest structure with this stoichiometry: 1716.9 meV/atom
&SYSTEM
  ibrav = 0, nat = 2, ntyp = 2
/
ATOMIC_SPECIES
Na 22.99 Na.upf
V 50.94 V.upf
CELL_PARAMETERS angstrom
0.0000 3.4834 3.4834
3.4834 0.0000 3.4834
3.4834 3.4834 0.0000
ATOMIC_POSITIONS angstrom
Na 0.0000 0.0000 0.0000
V 5.2251 5.2251 5.2251

***

Entry 7:
! NdSmHo5, relaxed, DFT GGA-PBE; values from VASP
! - Energy above the lowest structure with this stoichiometry: 0.0 meV/atom
&SYSTEM
  ibrav = 0, nat = 14, ntyp = 3
/
ATOMIC_SPECIES
Nd 144.24 Nd.upf
Sm 150.36 Sm.upf
Ho 164.93 Ho.upf
CELL_PARAMETERS angstrom
5.8405 -3.4052 0.0000
5.8405 3.4052 0.0000
-4.0163 0.0000 11.4422
ATOMIC_POSITIONS angstrom
Nd 2.8283 3.2262 8.5817
Nd 4.8364 -3.2262 2.8606
Sm 2.9203 1.7026 0.0000
Sm 0.9121 -1.7026 5.7211
Ho 0.2586 0.9477 8.5639
Ho 2.9180 1.5345 5.7339
Ho 2.7385 1.5345 11.4295
Ho 4.8364 0.5997 2.8606
Ho 2.2667 -0.9477 2.8428
Ho 5.3980 0.9477 8.5994
Ho 2.8283 -0.5997 8.5817
Ho 4.9262 -1.5345 0.0127
Ho 4.7467 -1.5345 5.7084
Ho 7.4061 -0.9477 2.8783

***

Entry 8:
! Pm3NdSe6, relaxed, DFT GGA-PBE; values from VASP
! - Calculated total energy: -58.738 eV per formula unit
&SYSTEM
  ibrav = 0, nat = 20, ntyp = 3
/
ATOMIC_SPECIES
Pm 145.00 Pm.upf
Nd 144.24 Nd.upf
Se 78.96 Se.upf
CELL_PARAMETERS angstrom
11.8243 0.0000 0.0000
0.0000 4.2302 0.0000
-3.9084 0.0000 11.5055
ATOMIC_POSITIONS angstrom
Pm 0.1414 1.0575 1.9363
Pm 0.1866 3.1726 5.7798
Pm 0.4444 1.0575 10.5444
Pm 7.4715 3.1726 0.9611
Pm 7.7294 1.0575 5.7257
Pm 7.7745 3.1726 9.5692
Nd 4.1780 1.0575 3.5500
Nd 3.7379 3.1726 7.9555
Se -1.2823 1.0575 4.4353
Se -2.4504 1.0575 10.7815
Se 1.8313 3.1726 3.1857
Se 0.7215 3.1726 8.6279
Se 2.4865 1.0575 6.1656
Se 4.5316 3.1726 1.1405
Se 3.3844 1.0575 10.3650
Se 5.4295 3.1726 5.3399
Se 7.1944 1.0575 2.8776
Se 6.0847 1.0575 8.3198
Se 10.3663 3.1726 0.7239
Se 9.1982 3.1726 7.0702

***

What is the formula in the third record?
PrAg9Hg2